The following is a PBE calculation of an optimized crystal structure of LuMgGeIr, from the Open Quantum Materials Database.

Relative energy among the computed polymorphs: 0.00 eV per formula unit
Energy: -86.2 eV/cell

Unit cell a=6.643 b=6.643 c=6.643 alpha=90.00 beta=90.00 gamma=90.00
Space group F-43m (No. 216)
Symmetry-distinct sites (fractional):
Lu 0.000 0.000 0.000 x4
Mg 0.000 0.000 0.500 x4
Ge 0.250 0.250 0.750 x4
Ir 0.250 0.250 0.250 x4